Entry 1:
The following is a PBE-GGA calculation of a geometry-optimized Pt2RhW structure, from the Alexandria database.

Size of the total moment in μB/cell: 0.72
Energy of formation from the pure elements in eV per atom: -0.091
Space group: R-3m, No. 166
Energy above the most stable polymorph in this dataset in meV/atom: 212
Electronic total energy in eV per atom: -8.19

Lattice parameters (Å, degrees): 9.288 9.288 9.288 17.25 17.25 17.25
Site moments in Bohr magnetons follow the coordinates.
Element x y z (fractional)
Pt (0.749, 0.749, 0.749)  0.04
Pt (0.251, 0.251, 0.251)  0.04
Rh (0.500, 0.500, 0.500)  0.68
W (0.000, 0.000, 0.000)  -0.04

***

Entry 2:
The following is a PBE-GGA calculation of a geometry-optimized Al2GePd structure, from the Alexandria database.

Size of the total moment in μB/cell: 0.00
Energy of formation from the pure elements in eV per atom: -0.304
Space group: P4/mmm, No. 123
Electronic total energy in eV per atom: -4.63

Lattice parameters (Å, degrees): 2.916 2.916 7.664 90.00 90.00 90.00
Element x y z (fractional)
Ge (0.500, 0.500, 0.500)
Al (0.000, 0.000, 0.778)
Al (0.000, 0.000, 0.222)
Pd (0.500, 0.500, 0.000)

***

Entry 3:
The following is a PBE-GGA calculation of a geometry-optimized K2BaCo structure, from the Alexandria database.

Size of the total moment in μB/cell: 2.41
Energy of formation from the pure elements in eV per atom: 0.825
Space group: R-3m, No. 166
Energy above the most stable polymorph in this dataset in meV/atom: 299
Electronic total energy in eV per atom: -1.98

Lattice parameters (Å, degrees): 12.595 12.595 12.595 20.74 20.74 20.74
Site moments in Bohr magnetons follow the coordinates.
Element x y z (fractional)
Ba (0.750, 0.750, 0.750)  0.05
Co (0.250, 0.250, 0.250)  1.99
K (0.976, 0.976, 0.976)  0.00
K (0.524, 0.524, 0.524)  0.00

***

Entry 4:
The following is a PBE-GGA calculation of a geometry-optimized Hf12Be5B3 structure, from the Alexandria database.

Size of the total moment in μB/cell: 0.00
Energy of formation from the pure elements in eV per atom: 0.601
Space group: Ia-3d, No. 230
Electronic total energy in eV per atom: -7.30

Lattice parameters (Å, degrees): 12.454 12.454 12.454 109.47 109.47 109.47
Element x y z (fractional)
B (0.750, 0.375, 0.125)
B (0.875, 0.750, 0.125)
B (0.375, 0.750, 0.625)
B (0.250, 0.125, 0.375)
B (0.875, 0.125, 0.250)
B (0.375, 0.625, 0.250)
B (0.625, 0.375, 0.750)
B (0.125, 0.875, 0.750)
B (0.750, 0.875, 0.625)
B (0.625, 0.250, 0.375)
B (0.125, 0.250, 0.875)
B (0.250, 0.625, 0.875)
Be (0.125, 0.375, 0.250)
Be (0.000, 0.500, 0.000)
Be (0.000, 0.000, 0.000)
Be (0.375, 0.250, 0.125)
Be (0.500, 0.000, 0.500)
Be (0.500, 0.500, 0.000)
Be (0.125, 0.750, 0.375)
Be (0.750, 0.125, 0.875)
Be (0.750, 0.625, 0.375)
Be (0.375, 0.125, 0.750)
Be (0.625, 0.875, 0.250)
Be (0.500, 0.500, 0.500)
Be (0.500, 0.000, 0.000)
Be (0.000, 0.000, 0.500)
Be (0.250, 0.375, 0.625)
Be (0.250, 0.875, 0.125)
Be (0.000, 0.500, 0.500)
Be (0.875, 0.250, 0.625)
Be (0.625, 0.750, 0.875)
Be (0.875, 0.625, 0.750)
Hf (0.721, 0.129, 0.051)
Hf (0.330, 0.551, 0.422)
Hf (0.949, 0.371, 0.279)
Hf (0.551, 0.221, 0.129)
Hf (0.592, 0.721, 0.670)
Hf (0.949, 0.578, 0.170)
Hf (0.330, 0.779, 0.408)
Hf (0.078, 0.908, 0.129)
Hf (0.578, 0.949, 0.670)
Hf (0.721, 0.592, 0.170)
Hf (0.779, 0.449, 0.371)
Hf (0.830, 0.922, 0.051)
Hf (0.129, 0.721, 0.551)
Hf (0.371, 0.422, 0.092)
Hf (0.092, 0.922, 0.371)
Hf (0.408, 0.129, 0.578)
Hf (0.092, 0.170, 0.221)
Hf (0.449, 0.670, 0.078)
Hf (0.830, 0.908, 0.279)
Hf (0.129, 0.408, 0.078)
Hf (0.371, 0.949, 0.779)
Hf (0.578, 0.629, 0.408)
Hf (0.922, 0.830, 0.551)
Hf (0.779, 0.330, 0.908)
Hf (0.422, 0.371, 0.592)
Hf (0.078, 0.170, 0.449)
Hf (0.221, 0.670, 0.092)
Hf (0.170, 0.092, 0.721)
Hf (0.629, 0.051, 0.221)
Hf (0.871, 0.592, 0.922)
Hf (0.551, 0.330, 0.922)
Hf (0.592, 0.871, 0.422)
Hf (0.908, 0.830, 0.779)
Hf (0.908, 0.078, 0.629)
Hf (0.871, 0.279, 0.449)
Hf (0.170, 0.078, 0.949)
Hf (0.629, 0.578, 0.908)
Hf (0.422, 0.051, 0.330)
Hf (0.279, 0.408, 0.830)
Hf (0.221, 0.551, 0.629)
Hf (0.922, 0.092, 0.871)
Hf (0.670, 0.221, 0.592)
Hf (0.449, 0.779, 0.871)
Hf (0.051, 0.422, 0.830)
Hf (0.408, 0.279, 0.330)
Hf (0.051, 0.629, 0.721)
Hf (0.670, 0.449, 0.578)
Hf (0.279, 0.871, 0.949)

***

Entry 5:
The following is a PBE-GGA calculation of a geometry-optimized Cs2K4Y structure, from the Alexandria database.

Size of the total moment in μB/cell: 3.12
Energy of formation from the pure elements in eV per atom: 0.470
Space group: I4/mmm, No. 139
Electronic total energy in eV per atom: -1.32

Lattice parameters (Å, degrees): 7.295 7.295 12.594 73.16 73.16 90.00
Site moments in Bohr magnetons follow the coordinates.
Element x y z (fractional)
Cs (0.622, 0.622, 0.756)  0.02
Cs (0.378, 0.378, 0.244)  0.02
Y (0.000, 0.000, 0.000)  0.81
K (0.826, 0.826, 0.349)  0.01
K (0.174, 0.174, 0.651)  0.01
K (0.000, 0.500, 0.000)  0.04
K (0.500, 0.000, 0.000)  0.04

***

Entry 6:
The following is a PBE-GGA calculation of a geometry-optimized CsHg2H structure, from the Alexandria database.

Size of the total moment in μB/cell: 0.00
Space group: I-42d, No. 122
Energy above the most stable polymorph in this dataset in meV/atom: 0
Electronic total energy in eV per atom: -1.08

Lattice parameters (Å, degrees): 7.043 7.043 7.056 60.06 60.06 90.00
Element x y z (fractional)
Cs (0.000, 0.000, 0.000)
Cs (0.750, 0.250, 0.500)
H (0.500, 0.500, 0.000)
H (0.250, 0.750, 0.500)
Hg (0.377, 0.125, 0.250)
Hg (0.373, 0.625, 0.250)
Hg (0.375, 0.623, 0.750)
Hg (0.875, 0.627, 0.750)

***

Entry 7:
The following is a PBE-GGA calculation of a geometry-optimized Si5Br structure, from the Alexandria database.

Size of the total moment in μB/cell: 0.00
Space group: P4/mmm, No. 123
Energy above the most stable polymorph in this dataset in meV/atom: 80
Electronic total energy in eV per atom: -4.37
E_form (uncorrected) in eV per atom: 0.433

Lattice parameters (Å, degrees): 3.356 3.356 9.424 90.00 90.00 90.00
Element x y z (fractional)
Si (0.000, 0.000, 0.761)
Si (0.000, 0.000, 0.239)
Si (0.500, 0.500, 0.642)
Si (0.500, 0.500, 0.358)
Si (0.000, 0.000, 0.500)
Br (0.500, 0.500, 0.000)

***

Entry 8:
The following is a PBE-GGA calculation of a geometry-optimized NaCaHfMoPd structure, from the Alexandria database.

Size of the total moment in μB/cell: 0.00
Energy of formation from the pure elements in eV per atom: 0.273
Space group: Cm, No. 8
Energy above the most stable polymorph in this dataset in meV/atom: 233
Electronic total energy in eV per atom: -5.59

Lattice parameters (Å, degrees): 8.090 3.006 11.744 90.00 126.77 90.00
Element x y z (fractional)
Na (0.648, 0.000, 0.158)
Na (0.648, 0.500, 0.658)
Ca (0.194, 0.000, 0.377)
Ca (0.194, 0.500, 0.877)
Hf (0.867, 0.000, 0.505)
Hf (0.867, 0.500, 0.005)
Mo (0.518, 0.000, 0.844)
Mo (0.518, 0.500, 0.344)
Pd (0.222, 0.000, 0.116)
Pd (0.222, 0.500, 0.616)

***

Entry 9:
The following is a PBE-GGA calculation of a geometry-optimized AcTiTe4 structure, from the Alexandria database.

Size of the total moment in μB/cell: 0.00
Space group: Cmc2_1, No. 36
Electronic total energy in eV per atom: -4.96
E_form (uncorrected) in eV per atom: -0.862

Lattice parameters (Å, degrees): 5.499 7.319 10.418 90.00 105.30 90.00
Element x y z (fractional)
Ac (0.853, 0.857, 0.706)
Ac (0.147, 0.357, 0.294)
Ti (0.595, 0.742, 0.191)
Ti (0.405, 0.242, 0.809)
Te (0.913, 0.277, 0.826)
Te (0.087, 0.777, 0.174)
Te (0.465, 0.896, 0.929)
Te (0.535, 0.396, 0.071)
Te (0.717, 0.571, 0.434)
Te (0.283, 0.071, 0.566)
Te (0.642, 0.090, 0.285)
Te (0.358, 0.590, 0.715)

***

Entry 10:
The following is a PBE-GGA calculation of a geometry-optimized KBe2Al structure, from the Alexandria database.

Size of the total moment in μB/cell: 0.00
Energy of formation from the pure elements in eV per atom: 0.559
Space group: Pmmm, No. 47
Electronic total energy in eV per atom: -2.51

Lattice parameters (Å, degrees): 2.662 3.775 7.387 90.00 90.00 90.00
Element x y z (fractional)
Be (0.000, 0.000, 0.898)
Be (0.000, 0.000, 0.602)
K (0.500, 0.500, 0.250)
Al (0.500, 0.500, 0.750)

***

Entry 11:
The following is a PBE-GGA calculation of a geometry-optimized Tm2PuCr2C4 structure, from the Alexandria database.

Size of the total moment in μB/cell: 4.70
Energy of formation from the pure elements in eV per atom: -0.069
Space group: C2/m, No. 12
Electronic total energy in eV per atom: -8.89

Lattice parameters (Å, degrees): 3.350 6.641 5.917 110.20 90.00 104.61
Site moments in Bohr magnetons follow the coordinates.
Element x y z (fractional)
Tm (0.864, 0.729, 0.460)  0.03
Tm (0.136, 0.271, 0.540)  0.03
Pu (0.000, 0.000, 0.000)  4.49
Cr (0.321, 0.642, 0.014)  0.11
Cr (0.679, 0.358, 0.986)  0.11
C (0.779, 0.558, 0.795)  -0.01
C (0.221, 0.442, 0.205)  -0.01
C (0.468, 0.935, 0.261)  -0.07
C (0.532, 0.065, 0.739)  -0.07

***

Entry 12:
The following is a PBE-GGA calculation of a geometry-optimized K3LiPd2O6 structure, from the Alexandria database.

Size of the total moment in μB/cell: 0.00
Space group: C2/m, No. 12
Electronic total energy in eV per atom: -4.81
E_form (uncorrected) in eV per atom: -1.032

Lattice parameters (Å, degrees): 5.550 5.550 6.173 98.61 98.61 120.05
Element x y z (fractional)
K (0.160, 0.840, 0.500)
K (0.840, 0.160, 0.500)
K (0.500, 0.500, 0.500)
Li (0.000, 0.000, 0.000)
Pd (0.333, 0.667, 0.000)
Pd (0.667, 0.333, 0.000)
O (0.941, 0.591, 0.823)
O (0.710, 0.710, 0.174)
O (0.059, 0.409, 0.177)
O (0.591, 0.941, 0.823)
O (0.290, 0.290, 0.826)
O (0.409, 0.059, 0.177)

***

Entry 13:
The following is a PBE-GGA calculation of a geometry-optimized Er3Tm3Zr structure, from the Alexandria database.

Size of the total moment in μB/cell: 0.00
Energy of formation from the pure elements in eV per atom: 0.193
Space group: P-1, No. 2
Electronic total energy in eV per atom: -4.90

Lattice parameters (Å, degrees): 6.019 6.025 13.964 77.59 77.64 59.99
Element x y z (fractional)
Er (0.198, 0.868, 0.396)
Er (0.536, 0.200, 0.396)
Er (0.868, 0.537, 0.396)
Er (0.132, 0.463, 0.604)
Er (0.464, 0.800, 0.604)
Er (0.802, 0.132, 0.604)
Tm (0.938, 0.272, 0.185)
Tm (0.602, 0.937, 0.186)
Tm (0.272, 0.603, 0.185)
Tm (0.728, 0.397, 0.815)
Tm (0.398, 0.063, 0.814)
Tm (0.062, 0.728, 0.815)
Zr (0.666, 0.668, 0.000)
Zr (0.334, 0.332, 0.000)